No. 1
Entry from the Alexandria database: a relaxed NaTl2Hg2Au crystal (PBE).

abc: 4.435 7.926 9.021
angles: 90.00 90.00 90.00
Sites, in units of the cell vectors:
Na 0.000 0.043 0.000
Na 0.000 0.957 0.500
Tl 0.000 0.322 0.712
Tl 0.000 0.678 0.212
Tl 0.500 0.387 0.011
Tl 0.500 0.613 0.511
Hg 0.000 0.295 0.280
Hg 0.000 0.705 0.780
Hg 0.500 0.006 0.751
Hg 0.500 0.994 0.251
Au 0.500 0.239 0.495
Au 0.500 0.761 0.995

For the volume, the calculation gives 317.1 Å³/cell. For the total magnetic moment, the calculation gives 0.00 μB per cell. The mass density comes out at 10.79 g cm⁻³. Its uncorrected energy is -1.77 eV/atom.

No. 2
Entry from the Alexandria database: a relaxed Ac6Nd3Y crystal (PBE).

abc: 7.057 7.057 9.952
angles: 107.39 107.39 62.91
Sites, in units of the cell vectors:
Ac 0.055 0.557 0.201
Ac 0.128 0.128 0.415
Ac 0.443 0.945 0.799
Ac 0.557 0.055 0.201
Ac 0.872 0.872 0.585
Ac 0.945 0.443 0.799
Nd 0.445 0.445 0.832
Nd 0.500 0.500 0.500
Nd 0.555 0.555 0.168
Y 0.000 0.000 0.000

For the volume, the calculation gives 413.2 Å³/cell. For the total magnetic moment, the calculation gives 0.00 μB per cell. The mass density comes out at 7.57 g cm⁻³. Its uncorrected energy is -4.34 eV/atom.

No. 3
Entry from the Alexandria database: a relaxed CaZnN crystal (PBE).

abc: 7.003 6.943 5.918
angles: 65.41 64.37 50.22
Sites, in units of the cell vectors:
Ca 0.018 0.018 0.732
Ca 0.268 0.268 0.982
Ca 0.732 0.732 0.018
Ca 0.982 0.982 0.268
Zn 0.000 0.500 0.500
Zn 0.500 0.000 0.500
Zn 0.500 0.500 0.000
Zn 0.500 0.500 0.500
N 0.110 0.640 0.640
N 0.360 0.890 0.890
N 0.640 0.110 0.110
N 0.890 0.360 0.360

For the volume, the calculation gives 195.3 Å³/cell. For the total magnetic moment, the calculation gives 0.00 μB per cell. The value obtained for the raw formation energy is -0.202 eV/atom. The mass density comes out at 4.06 g cm⁻³.

No. 4
Entry from the Alexandria database: a relaxed MoRhW3 crystal (PBE).

abc: 4.645 4.645 4.645
angles: 90.00 90.00 90.00
Sites, in units of the cell vectors:
Mo 0.000 0.000 0.000
Rh 0.500 0.500 0.500
W 0.000 0.500 0.500
W 0.500 0.000 0.500
W 0.500 0.500 0.000

For the volume, the calculation gives 100.2 Å³/cell. For the total magnetic moment, the calculation gives 0.00 μB per cell. The mass density comes out at 12.44 g cm⁻³. Its uncorrected energy is -9.28 eV/atom.

No. 5
Entry from the Alexandria database: a relaxed P2Pd2W crystal (PBE).

abc: 6.570 6.570 3.416
angles: 90.00 90.00 90.00
Sites, in units of the cell vectors:
P 0.156 0.344 0.000
P 0.344 0.844 0.000
P 0.656 0.156 0.000
P 0.844 0.656 0.000
Pd 0.150 0.650 0.500
Pd 0.350 0.150 0.500
Pd 0.650 0.850 0.500
Pd 0.850 0.350 0.500
W 0.000 0.000 0.000
W 0.500 0.500 0.000

For the volume, the calculation gives 147.4 Å³/cell. For the total magnetic moment, the calculation gives 0.00 μB per cell. The mass density comes out at 10.33 g cm⁻³. Its uncorrected energy is -6.91 eV/atom.

No. 6
Entry from the Alexandria database: a relaxed Tb7Sm3Ho2 crystal (PBE).

abc: 5.836 3.568 18.790
angles: 90.00 93.15 90.00
Sites, in units of the cell vectors:
Tb 0.000 0.000 0.000
Tb 0.190 0.500 0.178
Tb 0.257 0.500 0.537
Tb 0.312 0.000 0.856
Tb 0.688 0.000 0.144
Tb 0.743 0.500 0.463
Tb 0.810 0.500 0.822
Sm 0.221 0.000 0.367
Sm 0.500 0.500 0.000
Sm 0.779 0.000 0.633
Ho 0.290 0.500 0.706
Ho 0.710 0.500 0.294

For the volume, the calculation gives 390.6 Å³/cell. For the total magnetic moment, the calculation gives 0.00 μB per cell. The mass density comes out at 8.05 g cm⁻³. Its uncorrected energy is -4.56 eV/atom.